A) # Ac3DyTl4 PBE relaxed
data_Ac3DyTl4
_chemical_formula_sum 'Ac6 Dy2 Tl8'
_symmetry_space_group_name_H-M 'I m m m'
_symmetry_Int_Tables_number 71
_symmetry_space_group_name_Hall '-I 2 2'
_cell_length_a 4.812
_cell_length_b 7.848
_cell_length_c 16.004
_cell_angle_alpha 90.00
_cell_angle_beta 90.00
_cell_angle_gamma 90.00
loop_
_atom_site_label
_atom_site_type_symbol
_atom_site_fract_x
_atom_site_fract_y
_atom_site_fract_z
_atom_site_occupancy
Ac1 Ac 0.000 0.000 0.000 1
Ac2 Ac 0.000 0.500 0.189 1
Dy1 Dy 0.000 0.000 0.500 1
Tl1 Tl 0.000 0.298 0.377 1
# * crystal system: orthorhombic
# * size of the total moment: 0.000 μB per formula unit


B) # Ac3DyTl4 PBE relaxed
data_Ac3DyTl4
_chemical_formula_sum 'Ac3 Dy1 Tl4'
_symmetry_space_group_name_H-M 'P 4/m m m'
_symmetry_Int_Tables_number 123
_symmetry_space_group_name_Hall '-P 4 2'
_cell_length_a 3.973
_cell_length_b 3.973
_cell_length_c 16.818
_cell_angle_alpha 90.00
_cell_angle_beta 90.00
_cell_angle_gamma 90.00
loop_
_atom_site_label
_atom_site_type_symbol
_atom_site_fract_x
_atom_site_fract_y
_atom_site_fract_z
_atom_site_occupancy
Ac1 Ac 0.000 0.000 0.000 1
Ac2 Ac 0.000 0.000 0.263 1
Dy1 Dy 0.000 0.000 0.500 1
Tl1 Tl 0.500 0.500 0.133 1
Tl2 Tl 0.500 0.500 0.396 1
# * crystal system: tetragonal
# * size of the total moment: 0.000 μB per formula unit


How far above the most stable structure does each one sit? In kJ/mol of atoms: A) 16.6; B) 0.0.


A) # Ac2DyTl4 PBE relaxed
data_Ac2DyTl4
_chemical_formula_sum 'Ac4 Dy2 Tl8'
_symmetry_space_group_name_H-M 'I 4/m m m'
_symmetry_Int_Tables_number 139
_symmetry_space_group_name_Hall '-I 4 2'
_cell_length_a 5.537
_cell_length_b 5.537
_cell_length_c 15.568
_cell_angle_alpha 90.00
_cell_angle_beta 90.00
_cell_angle_gamma 90.00
loop_
_atom_site_label
_atom_site_type_symbol
_atom_site_fract_x
_atom_site_fract_y
_atom_site_fract_z
_atom_site_occupancy
Ac1 Ac 0.000 0.000 0.246 1
Dy1 Dy 0.000 0.000 0.500 1
Tl1 Tl 0.000 0.500 0.104 1
# * crystal system: tetragonal
# * size of the total moment: 0.000 μB per formula unit


B) # Ac2DyTl4 PBE relaxed
data_Ac2DyTl4
_chemical_formula_sum 'Ac4 Dy2 Tl8'
_symmetry_space_group_name_H-M 'P 1 21/m 1'
_symmetry_Int_Tables_number 11
_cell_length_a 6.524
_cell_length_b 6.630
_cell_length_c 10.739
_cell_angle_alpha 90.00
_cell_angle_beta 103.26
_cell_angle_gamma 90.00
loop_
_symmetry_equiv_pos_as_xyz
'x,y,z'
'-x,-y,-z'
'-x,y+1/2,-z'
'x,-y+1/2,z'
loop_
_atom_site_label
_atom_site_type_symbol
_atom_site_fract_x
_atom_site_fract_y
_atom_site_fract_z
_atom_site_occupancy
Ac1 Ac 0.133 0.250 0.419 1
Ac2 Ac 0.333 0.750 0.001 1
Dy1 Dy 0.061 0.250 0.802 1
Tl1 Tl 0.192 0.250 0.108 1
Tl2 Tl 0.304 0.750 0.440 1
Tl3 Tl 0.401 0.508 0.712 1
# * crystal system: monoclinic
# * size of the total moment: 0.000 μB per formula unit


How far above the most stable structure does each one sit? In kJ/mol of atoms: A) 5.8; B) 0.0.


A) # Ac2DyTl2 PBE relaxed
data_Ac2DyTl2
_chemical_formula_sum 'Ac8 Dy4 Tl8'
_symmetry_space_group_name_H-M 'C 1 2/m 1'
_symmetry_Int_Tables_number 12
_cell_length_a 13.144
_cell_length_b 5.097
_cell_length_c 12.178
_cell_angle_alpha 90.00
_cell_angle_beta 119.37
_cell_angle_gamma 90.00
loop_
_symmetry_equiv_pos_as_xyz
'x,y,z'
'-x,-y,-z'
'-x,y,-z'
'x,-y,z'
'x+1/2,y+1/2,z'
'-x+1/2,-y+1/2,-z'
'-x+1/2,y+1/2,-z'
'x+1/2,-y+1/2,z'
loop_
_atom_site_label
_atom_site_type_symbol
_atom_site_fract_x
_atom_site_fract_y
_atom_site_fract_z
_atom_site_occupancy
Ac1 Ac 0.017 0.000 0.178 1
Ac2 Ac 0.184 0.000 0.599 1
Dy1 Dy 0.211 0.500 0.863 1
Tl1 Tl 0.032 0.500 0.390 1
Tl2 Tl 0.138 0.500 0.076 1
# * crystal system: monoclinic
# * size of the total moment: 0.000 μB per formula unit


B) # Ac2DyTl2 PBE relaxed
data_Ac2DyTl2
_chemical_formula_sum 'Ac4 Dy2 Tl4'
_symmetry_space_group_name_H-M 'I m m m'
_symmetry_Int_Tables_number 71
_symmetry_space_group_name_Hall '-I 2 2'
_cell_length_a 4.979
_cell_length_b 7.149
_cell_length_c 10.030
_cell_angle_alpha 90.00
_cell_angle_beta 90.00
_cell_angle_gamma 90.00
loop_
_atom_site_label
_atom_site_type_symbol
_atom_site_fract_x
_atom_site_fract_y
_atom_site_fract_z
_atom_site_occupancy
Ac1 Ac 0.000 0.000 0.196 1
Dy1 Dy 0.000 0.500 0.000 1
Tl1 Tl 0.000 0.272 0.500 1
# * crystal system: orthorhombic
# * size of the total moment: 0.000 μB per formula unit


How far above the most stable structure does each one sit? In kJ/mol of atoms: A) 0.0; B) 0.5.


A) # AcDy3Tm7 PBE relaxed
data_AcDy3Tm7
_chemical_formula_sum 'Ac1 Dy3 Tm7'
_symmetry_space_group_name_H-M 'P 1 2/m 1'
_symmetry_Int_Tables_number 10
_cell_length_a 6.945
_cell_length_b 5.529
_cell_length_c 9.802
_cell_angle_alpha 90.00
_cell_angle_beta 108.39
_cell_angle_gamma 90.00
loop_
_symmetry_equiv_pos_as_xyz
'x,y,z'
'-x,-y,-z'
'-x,y,-z'
'x,-y,z'
loop_
_atom_site_label
_atom_site_type_symbol
_atom_site_fract_x
_atom_site_fract_y
_atom_site_fract_z
_atom_site_occupancy
Ac1 Ac 0.000 0.000 0.000 1
Dy1 Dy 0.275 0.500 0.491 1
Dy2 Dy 0.500 0.000 0.000 1
Tm1 Tm 0.000 0.000 0.500 1
Tm2 Tm 0.150 0.500 0.788 1
Tm3 Tm 0.331 0.500 0.145 1
Tm4 Tm 0.438 0.000 0.333 1
# * crystal system: monoclinic
# * size of the total moment: 0.000 μB per formula unit


B) # AcDy3Tm7 PBE relaxed
data_AcDy3Tm7
_chemical_formula_sum 'Ac1 Dy3 Tm7'
_symmetry_space_group_name_H-M 'P 3 m 1'
_symmetry_Int_Tables_number 156
_cell_length_a 7.0291
_cell_length_b 7.0291
_cell_length_c 8.6182
_cell_angle_alpha 90.00
_cell_angle_beta 90.00
_cell_angle_gamma 120.00
loop_
_symmetry_equiv_pos_as_xyz
'x,y,z'
'-y,x-y,z'
'-x+y,-x,z'
'-y,-x,z'
'-x+y,y,z'
'x,x-y,z'
loop_
_atom_site_label
_atom_site_type_symbol
_atom_site_fract_x
_atom_site_fract_y
_atom_site_fract_z
_atom_site_occupancy
Ac1 Ac 0.0000 0.0000 0.0000 1
Dy1 Dy 0.1685 0.3369 0.6597 1
Tm1 Tm 0.0025 0.5013 0.0024 1
Tm2 Tm 0.3333 0.6667 0.3303 1
Tm3 Tm 0.3341 0.1671 0.3328 1
# * crystal system: trigonal
# * size of the total moment: 0.001 μB per formula unit


How far above the most stable structure does each one sit? In kJ/mol of atoms: A) 0.0; B) 5.8.